Density functional theory data (PBE+U) for crystalline NiSbTe2F at its relaxed geometry.

Computed properties:
* mass density: 6.01 g/cm³
* relative energy among the computed polymorphs: 195.4 meV per atom
* space-group type: No. 123

a = 5.3638 Å, b = 5.3638 Å, c = 4.3658 Å
α = 90.00°, β = 90.00°, γ = 90.00°
Last column: nearest neighbours and their distance in Å.
Positions (direct):
Sb: 0.0000 0.0000 0.5000  2 F 2.18
F: 0.0000 0.0000 0.0000  2 Sb 2.18
Te: 0.0000 0.5000 0.0000  2 F 2.68
Te: 0.5000 0.0000 0.0000  2 F 2.68
Ni: 0.5000 0.5000 0.5000  8 Te 3.46, 4 Sb 3.79